# AcBeAsPd6

A relaxed structure of AcBeAsPd6 (GGA-PBE, Alexandria via LeMat-Bulk).

Values from the calculation:
Total magnetization in μB per cell: 0.0
E_tot in eV/cell: -93.6
Formation enthalpy at 0 K in eV per atom: -0.35
Space-group type: No. 74
D(E_F) in states/eV per cell: 8.1

Cell: 7.6418 8.2401 7.9567 Å, 121.19 118.70 90.00°
Fractional coordinates of all 18 atoms:
As (0.5000, 0.0000, 0.5000)
As (0.0000, 0.0000, 0.5000)
Pd (0.6001, 0.3617, 0.7557)
Pd (0.8443, 0.6383, 0.2443)
Pd (0.8835, 0.1335, 0.7669)
Pd (0.1165, 0.8665, 0.2331)
Pd (0.1557, 0.3617, 0.7557)
Pd (0.3999, 0.1059, 0.2443)
Pd (0.4331, 0.6831, 0.8661)
Pd (0.8443, 0.1059, 0.2443)
Pd (0.1557, 0.8941, 0.7557)
Pd (0.6001, 0.8941, 0.7557)
Pd (0.5669, 0.3169, 0.1339)
Pd (0.3999, 0.6383, 0.2443)
Be (0.5000, 0.5000, 0.0000)
Be (0.5000, 0.0000, 0.0000)
Ac (0.8326, 0.5826, 0.6652)
Ac (0.1674, 0.4174, 0.3348)